# 1
# CaCd2Se, single point on PBEsol structure, DFT SCAN
# Crystal system: monoclinic
# Formation energy from raw total energies, eV per atom: -0.819
# Magnetic moment, μB per formula unit: 0.0
# Space-group type: Pm, No. 6
data_CaCd2Se
_chemical_formula_sum 'Ca1 Cd2 Se1'
_cell_length_a 4.173
_cell_length_b 3.838
_cell_length_c 6.491
_cell_angle_alpha 90.00
_cell_angle_beta 108.64
_cell_angle_gamma 90.00
_space_group_name_H-M_alt 'P 1'
_space_group_IT_number 1
loop_
_space_group_symop_operation_xyz
'x,y,z'
loop_
_atom_site_label
_atom_site_type_symbol
_atom_site_fract_x
_atom_site_fract_y
_atom_site_fract_z
Ca1 Ca 0.000 0.000 0.000
Cd1 Cd 0.265 0.000 0.529
Cd2 Cd 0.708 0.500 0.413
Se1 Se 0.472 0.500 0.944



# 2
# CaCd2Se, single point on PBEsol structure, DFT SCAN
# Crystal system: tetragonal
# Formation energy from raw total energies, eV per atom: -0.443
# Magnetic moment, μB per formula unit: 0.0
# Space-group type: P4/mmm, No. 123
data_CaCd2Se
_chemical_formula_sum 'Ca1 Cd2 Se1'
_cell_length_a 3.687
_cell_length_b 3.687
_cell_length_c 7.038
_cell_angle_alpha 90.00
_cell_angle_beta 90.00
_cell_angle_gamma 90.00
_space_group_name_H-M_alt 'P 1'
_space_group_IT_number 1
loop_
_space_group_symop_operation_xyz
'x,y,z'
loop_
_atom_site_label
_atom_site_type_symbol
_atom_site_fract_x
_atom_site_fract_y
_atom_site_fract_z
Ca1 Ca 0.000 0.000 0.000
Cd1 Cd 0.500 0.500 0.287
Cd2 Cd 0.500 0.500 0.713
Se1 Se 0.000 0.000 0.500



# 3
# CaCdSe4, single point on PBEsol structure, DFT SCAN
# Crystal system: cubic
# Formation energy from raw total energies, eV per atom: -0.145
# Magnetic moment, μB per formula unit: 0.0
# Space-group type: F-43m, No. 216
data_CaCdSe4
_chemical_formula_sum 'Ca1 Cd1 Se4'
_cell_length_a 5.789
_cell_length_b 5.789
_cell_length_c 5.789
_cell_angle_alpha 60.00
_cell_angle_beta 60.00
_cell_angle_gamma 60.00
_space_group_name_H-M_alt 'P 1'
_space_group_IT_number 1
loop_
_space_group_symop_operation_xyz
'x,y,z'
loop_
_atom_site_label
_atom_site_type_symbol
_atom_site_fract_x
_atom_site_fract_y
_atom_site_fract_z
Ca1 Ca 0.000 0.000 0.000
Cd1 Cd 0.250 0.250 0.250
Se1 Se 0.128 0.624 0.624
Se2 Se 0.624 0.128 0.624
Se3 Se 0.624 0.624 0.128
Se4 Se 0.624 0.624 0.624